## one
A plane-wave DFT calculation with PBE was carried out for UFe2Ge after structural relaxation.

Calculated values
Magnetization = 1.293 Bohr magnetons per cell

a b c (Å): 4.5312 4.3143 6.7918
angles (deg): 90.00 112.15 90.00
Each line ends with the local moment (μB).
Atoms (fractional coordinates):
Fe 0.1793 0.2500 0.5274  1.02
Fe 0.4020 0.7500 0.0803  0.21
Ge 0.5833 0.2500 0.2863  0.00
Fe 0.8207 0.7500 0.4726  1.02
U 0.0506 0.7500 0.2168  -0.58
U 0.9494 0.2500 0.7832  -0.58
Ge 0.4167 0.7500 0.7137  0.00
Fe 0.5980 0.2500 0.9197  0.21

---

## two
A plane-wave DFT calculation with PBE was carried out for UFe2Ge after structural relaxation.

Calculated values
Magnetization = 2.148 Bohr magnetons per cell

a b c (Å): 4.3728 4.3728 4.3728
angles (deg): 60.00 60.00 60.00
Each line ends with the local moment (μB).
Atoms (fractional coordinates):
Ge 0.5000 0.5000 0.5000  -0.01
Fe 0.2500 0.2500 0.2500  0.40
U 0.0000 0.0000 0.0000  1.29
Fe 0.7500 0.7500 0.7500  0.40

---

Most stable pick: one. Distance to second place: 271 meV/atom.